{"formula": "BaNaPrCl6", "functional": "PBE", "state": "relaxed", "lattice_angstrom": [[7.251, 0.000, 0.000], [-3.626, 6.280, 0.000], [0.000, 0.000, 13.326]], "species": ["Ba", "Ba", "Na", "Na", "Pr", "Pr", "Cl", "Cl", "Cl", "Cl", "Cl", "Cl", "Cl", "Cl", "Cl", "Cl", "Cl", "Cl"], "frac_coords": [[0.000, 0.000, 0.000], [0.000, 0.000, 0.500], [0.333, 0.667, 0.250], [0.667, 0.333, 0.750], [0.333, 0.667, 0.750], [0.667, 0.333, 0.250], [0.008, 0.357, 0.634], [0.008, 0.650, 0.866], [0.350, 0.357, 0.866], [0.350, 0.992, 0.634], [0.357, 0.008, 0.134], [0.357, 0.350, 0.366], [0.643, 0.650, 0.634], [0.643, 0.992, 0.866], [0.650, 0.008, 0.366], [0.650, 0.643, 0.134], [0.992, 0.350, 0.134], [0.992, 0.643, 0.366]], "magnetic_moment_mub_per_fu": 0.00, "e_form_raw_ev_per_atom": -2.245, "density_g_cm3": 2.81, "dos_at_fermi_per_ev_atom": 0.00}